(1)
Entry from Alexandria via LeMat-Bulk: a relaxed structure of AlSi (PBE-GGA).

Computed properties:
Symmetry ... Fddd (70)
E_form (uncorrected) ... 0.55 eV/atom
Total energy ... -4.034 eV/atom

CIF file:
```
data_AlSi
_cell_length_a 9.819
_cell_length_b 9.603
_cell_length_c 8.911
_cell_angle_alpha 90.00
_cell_angle_beta 90.00
_cell_angle_gamma 90.00
_space_group_name_H-M_alt 'P 1'
_space_group_IT_number 1
loop_
_space_group_symop_operation_xyz
'x,y,z'
loop_
_atom_site_label
_atom_site_fract_x
_atom_site_fract_y
_atom_site_fract_z
_atom_site_occupancy
Si1 0.500 0.712 0.500 1
Si2 0.250 0.962 0.750 1
Si3 0.500 0.212 0.000 1
Si4 0.000 0.788 0.500 1
Si5 0.000 0.212 0.500 1
Si6 0.750 0.538 0.250 1
Si7 0.250 0.038 0.250 1
Si8 0.000 0.288 0.000 1
Si9 0.250 0.462 0.250 1
Si10 0.250 0.538 0.750 1
Si11 0.750 0.462 0.750 1
Si12 0.500 0.788 0.000 1
Si13 0.750 0.038 0.750 1
Si14 0.000 0.712 0.000 1
Si15 0.750 0.962 0.250 1
Si16 0.500 0.288 0.500 1
Al1 0.902 0.750 0.250 1
Al2 0.598 0.750 0.250 1
Al3 0.152 0.000 0.500 1
Al4 0.098 0.750 0.750 1
Al5 0.348 0.500 0.500 1
Al6 0.902 0.250 0.750 1
Al7 0.098 0.250 0.250 1
Al8 0.652 0.000 0.000 1
Al9 0.598 0.250 0.750 1
Al10 0.848 0.000 0.500 1
Al11 0.348 0.000 0.000 1
Al12 0.402 0.250 0.250 1
Al13 0.848 0.500 0.000 1
Al14 0.152 0.500 0.000 1
Al15 0.402 0.750 0.750 1
Al16 0.652 0.500 0.500 1
```

---

(2)
Entry from Alexandria via LeMat-Bulk: a relaxed structure of AlSi (PBE-GGA).

Computed properties:
Symmetry ... Cm (8)
E_form (uncorrected) ... 0.18 eV/atom
Total energy ... -4.401 eV/atom

CIF file:
```
data_AlSi
_cell_length_a 5.619
_cell_length_b 4.056
_cell_length_c 6.759
_cell_angle_alpha 90.00
_cell_angle_beta 112.45
_cell_angle_gamma 90.00
_space_group_name_H-M_alt 'P 1'
_space_group_IT_number 1
loop_
_space_group_symop_operation_xyz
'x,y,z'
loop_
_atom_site_label
_atom_site_fract_x
_atom_site_fract_y
_atom_site_fract_z
_atom_site_occupancy
Al1 0.355 0.000 0.856 1
Al2 0.355 0.500 0.356 1
Al3 0.832 0.000 0.690 1
Al4 0.832 0.500 0.190 1
Si1 0.104 0.500 0.617 1
Si2 0.589 0.000 0.268 1
Si3 0.589 0.500 0.768 1
Si4 0.104 0.000 0.117 1
```

---

(3)
Entry from Alexandria via LeMat-Bulk: a relaxed structure of AlSi (PBE-GGA).

Computed properties:
Symmetry ... P6_3/m (176)
E_form (uncorrected) ... 0.44 eV/atom
Total energy ... -4.145 eV/atom

CIF file:
```
data_AlSi
_cell_length_a 8.867
_cell_length_b 8.867
_cell_length_c 4.425
_cell_angle_alpha 90.00
_cell_angle_beta 90.00
_cell_angle_gamma 120.00
_space_group_name_H-M_alt 'P 1'
_space_group_IT_number 1
loop_
_space_group_symop_operation_xyz
'x,y,z'
loop_
_atom_site_label
_atom_site_fract_x
_atom_site_fract_y
_atom_site_fract_z
_atom_site_occupancy
Si1 0.372 0.980 0.250 1
Si2 0.980 0.608 0.750 1
Si3 0.608 0.628 0.250 1
Si4 0.392 0.372 0.750 1
Si5 0.628 0.020 0.750 1
Si6 0.020 0.392 0.250 1
Al1 0.290 0.830 0.750 1
Al2 0.460 0.290 0.250 1
Al3 0.710 0.170 0.250 1
Al4 0.540 0.710 0.750 1
Al5 0.170 0.460 0.750 1
Al6 0.830 0.540 0.250 1
```

---

(4)
Entry from Alexandria via LeMat-Bulk: a relaxed structure of Al3Si (PBE-GGA).

Computed properties:
Symmetry ... P6_3/mmc (194)
E_form (uncorrected) ... 0.12 eV/atom
Total energy ... -4.043 eV/atom

CIF file:
```
data_Al3Si
_cell_length_a 5.700
_cell_length_b 5.700
_cell_length_c 9.086
_cell_angle_alpha 90.00
_cell_angle_beta 90.00
_cell_angle_gamma 120.00
_space_group_name_H-M_alt 'P 1'
_space_group_IT_number 1
loop_
_space_group_symop_operation_xyz
'x,y,z'
loop_
_atom_site_label
_atom_site_fract_x
_atom_site_fract_y
_atom_site_fract_z
_atom_site_occupancy
Al1 0.331 0.166 0.250 1
Al2 0.834 0.669 0.250 1
Al3 0.669 0.834 0.750 1
Al4 0.500 0.000 0.000 1
Al5 0.166 0.834 0.750 1
Al6 0.500 0.500 0.000 1
Al7 0.834 0.166 0.250 1
Al8 0.000 0.500 0.500 1
Al9 0.500 0.500 0.500 1
Al10 0.000 0.500 0.000 1
Al11 0.166 0.331 0.750 1
Al12 0.500 0.000 0.500 1
Si1 0.667 0.333 0.750 1
Si2 0.000 0.000 0.000 1
Si3 0.333 0.667 0.250 1
Si4 0.000 0.000 0.500 1
```

---

(5)
Entry from Alexandria via LeMat-Bulk: a relaxed structure of AlSi3 (PBE-GGA).

Computed properties:
Symmetry ... Pmmm (47)
Energy relative to the lowest polymorph listed for this composition ... 48.3 meV per atom
E_form (uncorrected) ... 0.30 eV/atom
Total energy ... -4.701 eV/atom

CIF file:
```
data_AlSi3
_cell_length_a 4.287
_cell_length_b 2.599
_cell_length_c 5.469
_cell_angle_alpha 90.00
_cell_angle_beta 90.00
_cell_angle_gamma 90.00
_space_group_name_H-M_alt 'P 1'
_space_group_IT_number 1
loop_
_space_group_symop_operation_xyz
'x,y,z'
loop_
_atom_site_label
_atom_site_fract_x
_atom_site_fract_y
_atom_site_fract_z
_atom_site_occupancy
Si1 0.500 0.500 0.239 1
Si2 0.000 0.500 0.500 1
Si3 0.500 0.500 0.761 1
Al1 0.000 0.000 0.000 1
```

---

(6)
Entry from Alexandria via LeMat-Bulk: a relaxed structure of AlSi (PBE-GGA).

Computed properties:
Symmetry ... P4/m (83)
E_form (uncorrected) ... 0.48 eV/atom
Total energy ... -4.107 eV/atom

CIF file:
```
data_AlSi
_cell_length_a 11.122
_cell_length_b 11.122
_cell_length_c 4.015
_cell_angle_alpha 90.00
_cell_angle_beta 90.00
_cell_angle_gamma 90.00
_space_group_name_H-M_alt 'P 1'
_space_group_IT_number 1
loop_
_space_group_symop_operation_xyz
'x,y,z'
loop_
_atom_site_label
_atom_site_fract_x
_atom_site_fract_y
_atom_site_fract_z
_atom_site_occupancy
Al1 0.344 0.739 0.500 1
Al2 0.919 0.399 0.000 1
Al3 0.739 0.656 0.500 1
Al4 0.261 0.344 0.500 1
Al5 0.081 0.601 0.000 1
Al6 0.656 0.261 0.500 1
Al7 0.399 0.081 0.000 1
Al8 0.601 0.919 0.000 1
Si1 0.137 0.368 0.000 1
Si2 0.368 0.863 0.000 1
Si3 0.863 0.632 0.000 1
Si4 0.632 0.137 0.000 1
Si5 0.794 0.432 0.500 1
Si6 0.568 0.794 0.500 1
Si7 0.206 0.568 0.500 1
Si8 0.432 0.206 0.500 1
```